No. 1
Material: Nd2GdRh
Method: DFT, PBE
State: relaxed

Offset from the most stable computed form (eV/f.u.): 0.74
Crystal system: trigonal
E_form (eV/atom): -0.097
SG: R-3m (166)
Total moment (μB per atom): 2.04

Lattice parameters (Å, degrees): 3.7665 3.7665 31.9018 90.00 90.00 120.00
Sites, in units of the cell vectors:
Nd 0.0000 0.0000 0.1105
Nd 0.0000 0.0000 0.8895
Nd 0.3333 0.6667 0.5562
Nd 0.3333 0.6667 0.7771
Nd 0.6667 0.3333 0.2229
Nd 0.6667 0.3333 0.4438
Gd 0.0000 0.0000 0.0000
Gd 0.3333 0.6667 0.6667
Gd 0.6667 0.3333 0.3333
Rh 0.0000 0.0000 0.5000
Rh 0.3333 0.6667 0.1667
Rh 0.6667 0.3333 0.8333


No. 2
Material: TiAs2HBr
Method: DFT, PBE
State: relaxed

Offset from the most stable computed form (eV/f.u.): 0.44
Crystal system: tetragonal
SG: P4/mmm (123)
Total moment (μB per atom): 0.19

Lattice parameters (Å, degrees): 4.8871 4.8871 5.2588 90.00 90.00 90.00
Sites, in units of the cell vectors:
Ti 0.0000 0.0000 0.0000
As 0.0000 0.5000 0.0000
As 0.5000 0.0000 0.0000
H 0.5000 0.5000 0.5000
Br 0.0000 0.0000 0.5000


No. 3
Material: Ca2H6IrAu
Method: DFT, PBE
State: relaxed

Crystal system: trigonal
SG: P-3m1 (164)
Total DFT energy (no corrections) (eV/atom): -4.098
Total moment (μB per atom): 0.00

Lattice parameters (Å, degrees): 4.6059 4.6059 7.4649 90.00 90.00 120.00
Sites, in units of the cell vectors:
Ca 0.3333 0.6667 0.2941
Ca 0.6667 0.3333 0.7059
H 0.1729 0.3458 0.6266
H 0.1729 0.8271 0.6266
H 0.3458 0.1729 0.3734
H 0.6542 0.8271 0.6266
H 0.8271 0.1729 0.3734
H 0.8271 0.6542 0.3734
Ir 0.0000 0.0000 0.5000
Au 0.0000 0.0000 0.0000


No. 4
Material: SrScTe2
Method: DFT, PBE
State: relaxed

Offset from the most stable computed form (eV/f.u.): 1.93
Crystal system: tetragonal
SG: I-4m2 (119)
Total moment (μB per atom): 0.20
ΔE_f (raw) (eV per atom): -0.8944

Lattice parameters (Å, degrees): 4.3849 4.3849 13.5246 90.00 90.00 90.00
Sites, in units of the cell vectors:
Sr 0.0000 0.0000 0.0000
Sr 0.5000 0.5000 0.5000
Sc 0.0000 0.5000 0.2500
Sc 0.5000 0.0000 0.7500
Te 0.0000 0.0000 0.5000
Te 0.0000 0.5000 0.7500
Te 0.5000 0.0000 0.2500
Te 0.5000 0.5000 0.0000


No. 5
Material: SrTlAg2
Method: DFT, PBE
State: relaxed

Crystal system: orthorhombic
E_form (eV/atom): -0.115
SG: Pmmm (47)
Total moment (μB per atom): 0.00

Lattice parameters (Å, degrees): 3.8946 3.9139 6.9797 90.00 90.00 90.00
Sites, in units of the cell vectors:
Sr 0.0000 0.0000 0.0000
Tl 0.0000 0.0000 0.5000
Ag 0.5000 0.5000 0.2768
Ag 0.5000 0.5000 0.7232


No. 6
Material: DyAu6
Method: DFT, PBE
State: relaxed

Offset from the most stable computed form (eV/f.u.): 0.00
Crystal system: tetragonal
E_form (eV/atom): -0.416
SG: P4_2/ncm (138)
Total moment (μB per atom): 0.00

Lattice parameters (Å, degrees): 10.4843 10.4843 9.9466 90.00 90.00 90.00
Sites, in units of the cell vectors:
Dy 0.0731 0.0731 0.2110
Dy 0.0731 0.4269 0.7110
Dy 0.4269 0.0731 0.7110
Dy 0.4269 0.4269 0.2110
Dy 0.5731 0.5731 0.7890
Dy 0.5731 0.9269 0.2890
Dy 0.9269 0.5731 0.2890
Dy 0.9269 0.9269 0.7890
Au 0.0000 0.0000 0.5000
Au 0.0000 0.5000 0.0000
Au 0.0140 0.6803 0.5777
Au 0.0140 0.8197 0.0777
Au 0.1218 0.6975 0.8532
Au 0.1218 0.8025 0.3532
Au 0.1493 0.1493 0.6792
Au 0.1493 0.3507 0.1792
Au 0.1803 0.5140 0.4223
Au 0.1803 0.9860 0.9223
Au 0.1975 0.6218 0.1468
Au 0.1975 0.8782 0.6468
Au 0.2500 0.2500 0.4319
Au 0.2500 0.2500 0.9319
Au 0.3025 0.6218 0.6468
Au 0.3025 0.8782 0.1468
Au 0.3197 0.5140 0.9223
Au 0.3197 0.9860 0.4223
Au 0.3507 0.1493 0.1792
Au 0.3507 0.3507 0.6792
Au 0.3782 0.6975 0.3532
Au 0.3782 0.8025 0.8532
Au 0.4860 0.6803 0.0777
Au 0.4860 0.8197 0.5777
Au 0.5000 0.0000 0.0000
Au 0.5000 0.5000 0.5000
Au 0.5140 0.1803 0.4223
Au 0.5140 0.3197 0.9223
Au 0.6218 0.1975 0.1468
Au 0.6218 0.3025 0.6468
Au 0.6493 0.6493 0.3208
Au 0.6493 0.8507 0.8208
Au 0.6803 0.0140 0.5777
Au 0.6803 0.4860 0.0777
Au 0.6975 0.1218 0.8532
Au 0.6975 0.3782 0.3532
Au 0.7500 0.7500 0.0681
Au 0.7500 0.7500 0.5681
Au 0.8025 0.1218 0.3532
Au 0.8025 0.3782 0.8532
Au 0.8197 0.0140 0.0777
Au 0.8197 0.4860 0.5777
Au 0.8507 0.6493 0.8208
Au 0.8507 0.8507 0.3208
Au 0.8782 0.1975 0.6468
Au 0.8782 0.3025 0.1468
Au 0.9860 0.1803 0.9223
Au 0.9860 0.3197 0.4223


No. 7
Material: ScCu4Au
Method: DFT, PBE
State: relaxed

Crystal system: cubic
E_form (eV/atom): -0.305
SG: F-43m (216)
Total moment (μB per atom): 0.00

Lattice parameters (Å, degrees): 4.9430 4.9430 4.9430 60.00 60.00 60.00
Sites, in units of the cell vectors:
Sc 0.0000 0.0000 0.0000
Cu 0.3752 0.3752 0.3752
Cu 0.3752 0.3752 0.8744
Cu 0.3752 0.8744 0.3752
Cu 0.8744 0.3752 0.3752
Au 0.7500 0.7500 0.7500


No. 8
Material: CuNi5Sn
Method: DFT, PBE
State: relaxed

Crystal system: tetragonal
E_form (eV/atom): 0.110
SG: P4/mmm (123)
Total moment (μB per atom): 0.00

Lattice parameters (Å, degrees): 4.1562 4.1562 5.3448 90.00 90.00 90.00
Sites, in units of the cell vectors:
Cu 0.0000 0.0000 0.0000
Ni 0.0000 0.0000 0.5000
Ni 0.0000 0.5000 0.2289
Ni 0.0000 0.5000 0.7711
Ni 0.5000 0.0000 0.2289
Ni 0.5000 0.0000 0.7711
Sn 0.5000 0.5000 0.5000


No. 9
Material: GdMnCuRh
Method: DFT, PBE
State: relaxed

Crystal system: cubic
E_form (eV/atom): -0.159
SG: F-43m (216)
Total moment (μB per atom): 2.88

Lattice parameters (Å, degrees): 6.5729 6.5729 6.5729 90.00 90.00 90.00
Sites, in units of the cell vectors:
Gd 0.0000 0.0000 0.0000
Gd 0.0000 0.5000 0.5000
Gd 0.5000 0.0000 0.5000
Gd 0.5000 0.5000 0.0000
Mn 0.0000 0.0000 0.5000
Mn 0.0000 0.5000 0.0000
Mn 0.5000 0.0000 0.0000
Mn 0.5000 0.5000 0.5000
Cu 0.2500 0.2500 0.2500
Cu 0.2500 0.7500 0.7500
Cu 0.7500 0.2500 0.7500
Cu 0.7500 0.7500 0.2500
Rh 0.2500 0.2500 0.7500
Rh 0.2500 0.7500 0.2500
Rh 0.7500 0.2500 0.2500
Rh 0.7500 0.7500 0.7500


No. 10
Material: CdIn2I2
Method: DFT, PBE
State: relaxed

Offset from the most stable computed form (eV/f.u.): 0.41
Crystal system: tetragonal
SG: P4/mbm (127)
Total moment (μB per atom): 0.00
ΔE_f (raw) (eV per atom): -0.1836

Lattice parameters (Å, degrees): 9.7660 9.7660 4.2163 90.00 90.00 90.00
Sites, in units of the cell vectors:
Cd 0.0000 0.0000 0.0000
Cd 0.5000 0.5000 0.0000
In 0.1476 0.3524 0.5000
In 0.3524 0.8524 0.5000
In 0.6476 0.1476 0.5000
In 0.8524 0.6476 0.5000
I 0.1461 0.6461 0.0000
I 0.3539 0.1461 0.0000
I 0.6461 0.8539 0.0000
I 0.8539 0.3539 0.0000


No. 11
Material: Li3ZnAu
Method: DFT, PBE
State: relaxed

Offset from the most stable computed form (eV/f.u.): 1.64
Crystal system: cubic
E_form (eV/atom): -0.018
SG: Pm-3m (221)
Total moment (μB per atom): 0.00

Lattice parameters (Å, degrees): 4.8325 4.8325 4.8325 90.00 90.00 90.00
Sites, in units of the cell vectors:
Li 0.0000 0.0000 0.5000
Li 0.0000 0.5000 0.0000
Li 0.5000 0.0000 0.0000
Zn 0.5000 0.5000 0.5000
Au 0.0000 0.0000 0.0000


No. 12
Material: NaHg2Te2
Method: DFT, PBE
State: relaxed

Offset from the most stable computed form (eV/f.u.): 0.19
Crystal system: tetragonal
SG: I4/mmm (139)
Total moment (μB per atom): 0.00
ΔE_f (raw) (eV per atom): -0.2108

Lattice parameters (Å, degrees): 4.2893 4.2893 16.9502 90.00 90.00 90.00
Sites, in units of the cell vectors:
Na 0.0000 0.0000 0.0000
Na 0.5000 0.5000 0.5000
Hg 0.0000 0.5000 0.2500
Hg 0.0000 0.5000 0.7500
Hg 0.5000 0.0000 0.2500
Hg 0.5000 0.0000 0.7500
Te 0.0000 0.0000 0.4175
Te 0.0000 0.0000 0.5825
Te 0.5000 0.5000 0.0825
Te 0.5000 0.5000 0.9175


No. 13
Material: Ac12Pm6Sm
Method: DFT, PBE
State: relaxed

Crystal system: trigonal
E_form (eV/atom): 0.042
SG: R-3 (148)
Total moment (μB per atom): 0.00

Lattice parameters (Å, degrees): 10.2318 10.2318 10.2318 110.84 110.84 110.84
Sites, in units of the cell vectors:
Ac 0.0660 0.3764 0.5833
Ac 0.1020 0.7376 0.1552
Ac 0.1552 0.1020 0.7376
Ac 0.2624 0.8448 0.8980
Ac 0.3764 0.5833 0.0660
Ac 0.4167 0.9340 0.6236
Ac 0.5833 0.0660 0.3764
Ac 0.6236 0.4167 0.9340
Ac 0.7376 0.1552 0.1020
Ac 0.8448 0.8980 0.2624
Ac 0.8980 0.2624 0.8448
Ac 0.9340 0.6236 0.4167
Pm 0.2168 0.4685 0.3185
Pm 0.3185 0.2168 0.4685
Pm 0.4685 0.3185 0.2168
Pm 0.5315 0.6815 0.7832
Pm 0.6815 0.7832 0.5315
Pm 0.7832 0.5315 0.6815
Sm 0.0000 0.0000 0.0000


No. 14
Material: NaMgV
Method: DFT, PBE
State: relaxed

Offset from the most stable computed form (eV/f.u.): 4.14
Crystal system: hexagonal
E_form (eV/atom): 1.581
SG: P6_3/mmc (194)
Total moment (μB per atom): 1.40

Lattice parameters (Å, degrees): 5.0374 5.0374 11.0379 90.00 90.00 120.00
Sites, in units of the cell vectors:
Na 0.3333 0.6667 0.2500
Na 0.6667 0.3333 0.7500
Mg 0.0000 0.0000 0.2500
Mg 0.0000 0.0000 0.7500
V 0.0000 0.0000 0.0000
V 0.0000 0.0000 0.5000


No. 15
Material: MgMn2Se
Method: DFT, PBE
State: relaxed

Offset from the most stable computed form (eV/f.u.): 0.94
Crystal system: tetragonal
SG: I-42d (122)
Total moment (μB per atom): 1.75
ΔE_f (raw) (eV per atom): 0.2552

Lattice parameters (Å, degrees): 7.3602 7.3602 5.4544 90.00 90.00 90.00
Sites, in units of the cell vectors:
Mg 0.0000 0.0000 0.0000
Mg 0.0000 0.5000 0.2500
Mg 0.5000 0.0000 0.7500
Mg 0.5000 0.5000 0.5000
Mn 0.2106 0.2500 0.6250
Mn 0.2500 0.7106 0.8750
Mn 0.2500 0.7894 0.3750
Mn 0.2894 0.2500 0.1250
Mn 0.7106 0.7500 0.1250
Mn 0.7500 0.2106 0.3750
Mn 0.7500 0.2894 0.8750
Mn 0.7894 0.7500 0.6250
Se 0.0000 0.0000 0.5000
Se 0.0000 0.5000 0.7500
Se 0.5000 0.0000 0.2500
Se 0.5000 0.5000 0.0000


No. 16
Material: RbNaGe4
Method: DFT, PBE
State: relaxed

Crystal system: cubic
E_form (eV/atom): 0.135
SG: F-43m (216)
Total moment (μB per atom): 0.00

Lattice parameters (Å, degrees): 5.9463 5.9463 5.9463 60.00 60.00 60.00
Sites, in units of the cell vectors:
Rb 0.0000 0.0000 0.0000
Na 0.7500 0.7500 0.7500
Ge 0.3821 0.3821 0.3821
Ge 0.3821 0.3821 0.8537
Ge 0.3821 0.8537 0.3821
Ge 0.8537 0.3821 0.3821


No. 17
Material: AlIrCl
Method: DFT, PBE
State: relaxed

Offset from the most stable computed form (eV/f.u.): 1.72
Crystal system: hexagonal
SG: P-6m2 (187)
Total moment (μB per atom): 0.00
ΔE_f (raw) (eV per atom): 0.1645

Lattice parameters (Å, degrees): 4.2686 4.2686 2.9601 90.00 90.00 120.00
Sites, in units of the cell vectors:
Al 0.0000 0.0000 0.0000
Ir 0.3333 0.6667 0.5000
Cl 0.6667 0.3333 0.5000


No. 18
Material: KCa2LaC
Method: DFT, PBE
State: relaxed

Crystal system: tetragonal
E_form (eV/atom): 0.323
SG: P4/mmm (123)
Total moment (μB per atom): 0.00

Lattice parameters (Å, degrees): 5.5491 5.5491 5.2178 90.00 90.00 90.00
Sites, in units of the cell vectors:
K 0.0000 0.0000 0.0000
Ca 0.0000 0.5000 0.5000
Ca 0.5000 0.0000 0.5000
La 0.5000 0.5000 0.0000
C 0.5000 0.5000 0.5000


No. 19
Material: ScInHg3
Method: DFT, PBE
State: relaxed

Offset from the most stable computed form (eV/f.u.): 0.16
Crystal system: orthorhombic
E_form (eV/atom): -0.087
SG: Cmcm (63)
Total moment (μB per atom): 0.00

Lattice parameters (Å, degrees): 8.3648 8.3648 5.4957 90.00 90.00 137.15
Sites, in units of the cell vectors:
Sc 0.1773 0.8227 0.7500
Sc 0.8227 0.1773 0.2500
In 0.3669 0.6331 0.2500
In 0.6331 0.3669 0.7500
Hg 0.0000 0.0000 0.0000
Hg 0.0000 0.0000 0.5000
Hg 0.0825 0.4071 0.7500
Hg 0.4071 0.0825 0.2500
Hg 0.5929 0.9175 0.7500
Hg 0.9175 0.5929 0.2500


No. 20
Material: NdSmZnSi
Method: DFT, PBE
State: relaxed

Offset from the most stable computed form (eV/f.u.): 0.35
Crystal system: cubic
SG: F-43m (216)
Total moment (μB per atom): 0.00
ΔE_f (raw) (eV per atom): -0.4359

Lattice parameters (Å, degrees): 7.2442 7.2442 7.2442 90.00 90.00 90.00
Sites, in units of the cell vectors:
Nd 0.0000 0.0000 0.0000
Nd 0.0000 0.5000 0.5000
Nd 0.5000 0.0000 0.5000
Nd 0.5000 0.5000 0.0000
Sm 0.0000 0.0000 0.5000
Sm 0.0000 0.5000 0.0000
Sm 0.5000 0.0000 0.0000
Sm 0.5000 0.5000 0.5000
Zn 0.2500 0.2500 0.7500
Zn 0.2500 0.7500 0.2500
Zn 0.7500 0.2500 0.2500
Zn 0.7500 0.7500 0.7500
Si 0.2500 0.2500 0.2500
Si 0.2500 0.7500 0.7500
Si 0.7500 0.2500 0.7500
Si 0.7500 0.7500 0.2500


No. 21
Material: ZrTa2As
Method: DFT, PBE
State: relaxed

Crystal system: monoclinic
E_form (eV/atom): -0.199
SG: C2/m (12)
Total moment (μB per atom): 0.00

Lattice parameters (Å, degrees): 9.6807 3.3296 4.7709 90.00 104.94 90.00
Sites, in units of the cell vectors:
Zr 0.0000 0.0000 0.0000
Zr 0.5000 0.5000 0.0000
Ta 0.2358 0.0000 0.7266
Ta 0.2642 0.5000 0.2734
Ta 0.7358 0.5000 0.7266
Ta 0.7642 0.0000 0.2734
As 0.0000 0.5000 0.5000
As 0.5000 0.0000 0.5000


V for the records above, in order: 391.9 125.6 137.1 260.0 106.4 1093.3 85.4 92.3 284.0 402.1 112.9 311.8 780.2 242.6 295.5 148.7 46.7 160.7 261.5 380.2 148.6 Å³/cell